(P)
First-principles (GGA-PBE) data for crystalline BaInSnPd2 at its relaxed geometry, as listed in OQMD.

Cell: 4.783 4.783 10.937 Å, 90.00 90.00 90.00°
Space group P4/nmm (No. 129, origin choice 2)
One atom of each set of equivalent atoms:
Ba 0.250 0.250 0.243 (multiplicity 2)
In 0.250 0.750 0.500 (multiplicity 2)
Sn 0.250 0.250 0.883 (multiplicity 2)
Pd 0.250 0.250 0.634 (multiplicity 2)
Pd 0.250 0.750 0.000 (multiplicity 2)

(Q)
First-principles (GGA-PBE) data for crystalline BaInSnPd2 at its relaxed geometry, as listed in OQMD.

Cell: 4.822 4.822 10.790 Å, 90.00 90.00 90.00°
Space group P4/nmm (No. 129, origin choice 2)
One atom of each set of equivalent atoms:
Ba 0.250 0.250 0.242 (multiplicity 2)
In 0.250 0.250 0.881 (multiplicity 2)
Sn 0.250 0.750 0.500 (multiplicity 2)
Pd 0.250 0.250 0.625 (multiplicity 2)
Pd 0.250 0.750 0.000 (multiplicity 2)

Least stable: (Q)

(P)
First-principles (GGA-PBE) data for crystalline Ba2InTcS6 at its relaxed geometry, as listed in OQMD.

Cell: 6.780 6.780 10.523 Å, 90.00 90.00 90.00°
Space group I4/m (No. 87)
One atom of each set of equivalent atoms:
Ba 0.000 0.500 0.250 (multiplicity 4)
In 0.000 0.000 0.000 (multiplicity 2)
Tc 0.000 0.000 0.500 (multiplicity 2)
S 0.000 0.000 0.265 (multiplicity 4)
S 0.173 0.693 0.500 (multiplicity 8)

(Q)
First-principles (GGA-PBE) data for crystalline Ba2InTcS6 at its relaxed geometry, as listed in OQMD.

Cell: 9.917 9.917 9.917 Å, 90.00 90.00 90.00°
Space group Fm-3m (No. 225)
One atom of each set of equivalent atoms:
Ba 0.250 0.250 0.250 (multiplicity 8)
In 0.000 0.000 0.000 (multiplicity 4)
Tc 0.000 0.000 0.500 (multiplicity 4)
S 0.000 0.000 0.258 (multiplicity 24)

Least stable: (Q)

(P)
First-principles (GGA-PBE) data for crystalline Ba2InTcSe6 at its relaxed geometry, as listed in OQMD.

Cell: 10.432 10.432 10.432 Å, 90.00 90.00 90.00°
Space group Fm-3m (No. 225)
One atom of each set of equivalent atoms:
Ba 0.250 0.250 0.250 (multiplicity 8)
In 0.000 0.000 0.000 (multiplicity 4)
Tc 0.000 0.000 0.500 (multiplicity 4)
Se 0.000 0.000 0.257 (multiplicity 24)

(Q)
First-principles (GGA-PBE) data for crystalline Ba2InTcSe6 at its relaxed geometry, as listed in OQMD.

Cell: 6.898 6.898 11.783 Å, 90.00 90.00 90.00°
Space group I4/m (No. 87)
One atom of each set of equivalent atoms:
Ba 0.000 0.500 0.250 (multiplicity 4)
In 0.000 0.000 0.000 (multiplicity 2)
Tc 0.000 0.000 0.500 (multiplicity 2)
Se 0.000 0.000 0.271 (multiplicity 4)
Se 0.135 0.660 0.500 (multiplicity 8)

Least stable: (P)

(P)
First-principles (GGA-PBE) data for crystalline BaLuIr at its relaxed geometry, as listed in OQMD.

Cell: 6.971 6.971 6.971 Å, 90.00 90.00 90.00°
Space group F-43m (No. 216)
One atom of each set of equivalent atoms:
Ba 0.000 0.000 0.000 (multiplicity 4)
Lu 0.250 0.250 0.250 (multiplicity 4)
Ir 0.250 0.250 0.750 (multiplicity 4)

(Q)
First-principles (GGA-PBE) data for crystalline BaLuIr at its relaxed geometry, as listed in OQMD.

Cell: 7.097 7.097 7.097 Å, 90.00 90.00 90.00°
Space group F-43m (No. 216)
One atom of each set of equivalent atoms:
Ba 0.000 0.000 0.000 (multiplicity 4)
Lu 0.000 0.000 0.500 (multiplicity 4)
Ir 0.250 0.250 0.250 (multiplicity 4)

Least stable: (P)